(1)
The following is a PBE calculation of a relaxed Nd4Ho4Mg crystal, from the Alexandria database.

Magnetization ... 0.00 μB/cell
Formation energy from the elements ... 0.02 eV/atom
Density of states at the Fermi level ... 21.4 states/eV/cell
Space-group type ... P-1

a b c (Å): 7.122 7.982 12.880
angles (deg): 108.24 65.32 77.07
Element x y z (fractional)
Nd 0.303 0.945 0.610
Nd 0.029 0.721 0.057
Nd 0.804 0.944 0.615
Nd 0.088 0.166 0.165
Nd 0.912 0.834 0.835
Nd 0.196 0.056 0.385
Nd 0.971 0.279 0.943
Nd 0.697 0.055 0.390
Ho 0.418 0.825 0.831
Ho 0.140 0.611 0.278
Ho 0.247 0.500 0.501
Ho 0.476 0.277 0.942
Ho 0.753 0.500 0.499
Ho 0.524 0.723 0.058
Ho 0.582 0.175 0.169
Ho 0.860 0.389 0.722
Mg 0.361 0.393 0.722
Mg 0.639 0.607 0.278

(2)
The following is a PBE calculation of a relaxed Nd5HoMg4 crystal, from the Alexandria database.

Magnetization ... 0.00 μB/cell
Formation energy from the elements ... -0.08 eV/atom
Density of states at the Fermi level ... 11.1 states/eV/cell
Space-group type ... P4/mmm

a b c (Å): 3.834 3.834 20.566
angles (deg): 90.00 90.00 90.00
Element x y z (fractional)
Nd 0.500 0.500 0.116
Nd 0.500 0.500 0.308
Nd 0.500 0.500 0.500
Nd 0.500 0.500 0.692
Nd 0.500 0.500 0.884
Ho 0.000 0.000 0.000
Mg 0.000 0.000 0.212
Mg 0.000 0.000 0.404
Mg 0.000 0.000 0.596
Mg 0.000 0.000 0.788

(3)
The following is a PBE calculation of a relaxed Nd3HoMg crystal, from the Alexandria database.

Relative energy among the computed polymorphs ... 0 kJ/mol of formula units
Magnetization ... 0.00 μB/cell
Formation energy from the elements ... 0.06 eV/atom
Density of states at the Fermi level ... 14.5 states/eV/cell
Space-group type ... C2/m

a b c (Å): 3.552 8.586 11.518
angles (deg): 108.05 98.87 90.00
Element x y z (fractional)
Nd 0.017 0.224 0.035
Nd 0.983 0.776 0.965
Nd 0.378 0.964 0.757
Nd 0.622 0.036 0.243
Nd 0.176 0.442 0.352
Nd 0.824 0.558 0.648
Ho 0.735 0.820 0.469
Ho 0.265 0.180 0.531
Mg 0.576 0.599 0.152
Mg 0.424 0.401 0.848

(4)
The following is a PBE calculation of a relaxed Nd3HoMg6 crystal, from the Alexandria database.

Magnetization ... 0.00 μB/cell
Formation energy from the elements ... -0.08 eV/atom
Density of states at the Fermi level ... 19.8 states/eV/cell
Space-group type ... P2_1/m

a b c (Å): 5.328 9.434 11.398
angles (deg): 105.29 90.00 90.00
Element x y z (fractional)
Nd 0.250 0.538 0.395
Nd 0.750 0.462 0.605
Nd 0.250 0.350 0.789
Nd 0.750 0.650 0.211
Nd 0.250 0.755 0.006
Nd 0.750 0.245 0.994
Ho 0.250 0.951 0.600
Ho 0.750 0.049 0.400
Mg 0.250 0.439 0.097
Mg 0.750 0.561 0.903
Mg 0.250 0.145 0.191
Mg 0.750 0.855 0.809
Mg 0.250 0.670 0.708
Mg 0.750 0.330 0.292
Mg 0.250 0.235 0.484
Mg 0.750 0.765 0.516
Mg 0.250 0.865 0.305
Mg 0.750 0.135 0.695
Mg 0.250 0.045 0.896
Mg 0.750 0.955 0.104